Entry 1:
VZn2Au after structural relaxation. Source: Alexandria via LeMat-Bulk, functional PBE.

Cell and atoms, written as POSCAR:
```
VZn2Au
1.0
4.939 0.000 0.000
0.000 4.940 0.000
0.000 0.000 5.005
V Zn Au
2 4 2
direct
0.219 0.000 0.000
0.781 0.000 0.000
0.000 0.500 0.242
0.000 0.500 0.758
0.500 0.247 0.500
0.500 0.753 0.500
0.000 0.000 0.500
0.500 0.500 0.000
```

DOS(E_F): 0.58 states/eV per atom
Uncorrected energy: -3.746 eV/atom
Total moment: 0.00 μB/f.u.


Entry 2:
VZn2Au8 after structural relaxation. Source: Alexandria via LeMat-Bulk, functional PBE.

Cell and atoms, written as POSCAR:
```
VZn2Au8
1.0
3.840 -6.137 0.000
3.840 6.137 0.000
-1.861 0.000 4.203
V Zn Au
1 2 8
direct
0.000 0.000 0.000
0.314 0.686 0.500
0.686 0.314 0.500
0.083 0.319 0.606
0.221 0.779 0.000
0.319 0.083 0.606
0.382 0.382 0.175
0.618 0.618 0.825
0.681 0.917 0.394
0.779 0.221 0.000
0.917 0.681 0.394
```

DOS(E_F): 0.55 states/eV per atom
Uncorrected energy: -3.452 eV/atom
Distance to the lowest polymorph of the same formula: 0.0 meV/atom
Total moment: 2.46 μB/f.u.